An optimized crystal structure of PbO, computed with PBEsol.

Magnetization = 0.000 μB per atom
Formation energy without anion corrections = -2.19 eV per formula unit

Lattice parameters (Å, degrees): 3.9875 3.9875 5.0489 90.00 90.00 90.00
Last column: nearest neighbours and their distance in Å.
Fractional positions:
O 0.0000 0.0000 0.0000  4 Pb 2.32
O 0.5000 0.5000 0.0000  4 Pb 2.32
Pb 0.5000 0.0000 0.7650  4 O 2.32
Pb 0.0000 0.5000 0.2350  4 O 2.32